(1)
Below is a relaxed structure of LiMg5Hg3, with properties calculated at the GGA-PBE level.

Geometry as extended XYZ:
```
18
Lattice="8.464 0.000 0.000 -4.232 7.330 0.000 0.000 0.000 6.088" Properties=species:S:1:pos:R:3 pbc="T T T"
Li 0.000 0.000 0.000
Li 0.000 0.000 3.044
Mg -1.352 2.341 1.522
Mg -2.880 4.989 4.566
Mg 2.703 0.000 1.522
Mg 1.352 2.341 4.566
Mg 0.000 4.887 0.000
Mg 0.000 4.887 3.044
Mg 4.232 2.443 0.000
Mg 4.232 2.443 3.044
Mg 5.761 0.000 4.566
Mg 2.880 4.989 1.522
Hg -1.454 2.518 4.566
Hg -2.778 4.812 1.522
Hg 2.907 0.000 4.566
Hg 1.454 2.518 1.522
Hg 5.556 0.000 1.522
Hg 2.778 4.812 4.566
```

Properties
Magnetic moment   0.00 μB/f.u.
Energy of formation   -0.24 eV per atom



(2)
Below is a relaxed structure of Ti6Ga5Mo, with properties calculated at the GGA-PBE level.

Geometry as extended XYZ:
```
12
Lattice="4.715 0.000 0.000 0.000 5.839 0.000 -0.749 0.000 6.880" Properties=species:S:1:pos:R:3 pbc="T T T"
Ti 0.000 1.441 0.000
Ti 0.000 4.399 0.000
Ti 1.128 1.464 4.609
Ti 1.128 4.375 4.609
Ti 2.837 1.464 2.272
Ti 2.837 4.375 2.272
Ga 0.487 0.000 2.338
Ga 0.522 2.920 2.242
Ga 2.358 0.000 0.000
Ga 3.443 2.920 4.638
Ga 3.479 0.000 4.542
Mo 2.358 2.920 0.000
```

Properties
Magnetic moment   0.00 μB/f.u.
Energy of formation   -0.42 eV per atom
Distance to the lowest polymorph of the same formula   0 meV per atom



(3)
Below is a relaxed structure of SrTaAl2, with properties calculated at the GGA-PBE level.

Geometry as extended XYZ:
```
4
Lattice="4.336 0.000 0.000 0.000 1.644 6.481 0.000 -1.644 6.481" Properties=species:S:1:pos:R:3 pbc="T T T"
Sr 0.000 0.000 0.000
Ta 2.168 0.000 8.988
Al 0.000 0.000 3.118
Al 2.168 0.000 4.720
```

Properties
Magnetic moment   0.00 μB/f.u.
Energy of formation   0.24 eV per atom
Distance to the lowest polymorph of the same formula   242 meV per atom



(4)
Below is a relaxed structure of LaSbPd3, with properties calculated at the GGA-PBE level.

Geometry as extended XYZ:
```
5
Lattice="5.140 0.000 0.000 0.000 5.140 0.000 0.000 0.000 5.140" Properties=species:S:1:pos:R:3 pbc="T T T"
La 0.000 0.000 0.000
Sb 2.570 2.570 2.570
Pd 0.000 0.000 2.570
Pd 0.000 2.570 0.000
Pd 2.570 0.000 0.000
```

Properties
Magnetic moment   0.00 μB/f.u.
ΔE_f (raw)   0.455 eV per atom
Distance to the lowest polymorph of the same formula   1171 meV per atom



(5)
Below is a relaxed structure of HfTcPb2, with properties calculated at the GGA-PBE level.

Geometry as extended XYZ:
```
4
Lattice="0.000 3.476 3.476 3.476 0.000 3.476 3.476 3.476 0.000" Properties=species:S:1:pos:R:3 pbc="T T T"
Hf 0.000 0.000 0.000
Tc 3.476 3.476 3.476
Pb 1.738 1.738 1.738
Pb 5.214 5.214 5.214
```

Properties
Magnetic moment   0.00 μB/f.u.
Energy of formation   0.43 eV per atom
Distance to the lowest polymorph of the same formula   0 meV per atom



(6)
Below is a relaxed structure of Rb2Tl6Au, with properties calculated at the GGA-PBE level.

Geometry as extended XYZ:
```
9
Lattice="6.600 -3.859 0.000 6.600 3.859 0.000 -0.760 0.000 6.205" Properties=species:S:1:pos:R:3 pbc="T T T"
Rb 2.445 0.000 1.939
Rb 9.995 0.000 4.266
Tl 5.549 2.251 1.334
Tl 6.892 2.251 4.871
Tl 4.168 0.000 5.315
Tl 8.272 0.000 0.890
Tl 5.549 -2.251 1.334
Tl 6.892 -2.251 4.871
Au 6.220 0.000 3.102
```

Properties
Magnetic moment   0.00 μB/f.u.
Energy of formation   -0.09 eV per atom



(7)
Below is a relaxed structure of CuPtSeN2, with properties calculated at the GGA-PBE level.

Geometry as extended XYZ:
```
5
Lattice="3.695 0.000 0.000 0.000 3.695 0.000 0.000 0.000 7.359" Properties=species:S:1:pos:R:3 pbc="T T T"
Cu 0.000 0.000 0.000
Pt 1.847 1.847 3.679
Se 1.847 1.847 0.000
N 0.000 1.847 3.679
N 1.847 0.000 3.679
```

Properties
Magnetic moment   0.00 μB/f.u.
ΔE_f (raw)   1.140 eV per atom
Distance to the lowest polymorph of the same formula   0 meV per atom



(8)
Below is a relaxed structure of GaIr2, with properties calculated at the GGA-PBE level.

Geometry as extended XYZ:
```
6
Lattice="7.024 -1.407 0.000 7.024 1.407 0.000 -1.433 0.000 4.446" Properties=species:S:1:pos:R:3 pbc="T T T"
Ga 1.788 0.000 1.327
Ga 10.827 0.000 3.119
Ir -0.717 0.000 2.223
Ir 4.315 0.000 0.903
Ir 7.024 0.000 0.000
Ir 8.300 0.000 3.543
```

Properties
Magnetic moment   0.00 μB/f.u.
Energy of formation   -0.19 eV per atom



(9)
Below is a relaxed structure of Li2YW, with properties calculated at the GGA-PBE level.

Geometry as extended XYZ:
```
4
Lattice="0.000 3.450 3.450 3.450 0.000 3.450 3.450 3.450 0.000" Properties=species:S:1:pos:R:3 pbc="T T T"
Li 0.000 0.000 0.000
Li 1.725 1.725 1.725
Y 3.450 3.450 3.450
W 5.175 5.175 5.175
```

Properties
Magnetic moment   2.74 μB/f.u.
Energy of formation   0.81 eV per atom
Distance to the lowest polymorph of the same formula   357 meV per atom



(10)
Below is a relaxed structure of BaP2WS, with properties calculated at the GGA-PBE level.

Geometry as extended XYZ:
```
5
Lattice="4.739 0.000 0.000 0.000 4.739 0.000 0.000 0.000 5.060" Properties=species:S:1:pos:R:3 pbc="T T T"
Ba 0.000 0.000 0.000
P 0.000 2.370 2.530
P 2.370 0.000 2.530
W 2.370 2.370 2.530
S 2.370 2.370 0.000
```

Properties
Magnetic moment   0.00 μB/f.u.
ΔE_f (raw)   -0.541 eV per atom
Distance to the lowest polymorph of the same formula   0 meV per atom



(11)
Below is a relaxed structure of NdDy5Ho6, with properties calculated at the GGA-PBE level.

Geometry as extended XYZ:
```
12
Lattice="3.070 -5.312 0.000 3.070 5.312 0.000 -2.035 0.000 11.560" Properties=species:S:1:pos:R:3 pbc="T T T"
Nd 0.000 0.000 0.000
Dy 2.052 3.539 5.780
Dy 3.070 1.771 0.000
Dy 2.052 0.000 5.780
Dy 3.070 -1.771 0.000
Dy 2.052 -3.539 5.780
Ho 1.025 1.774 2.906
Ho 0.015 0.000 8.656
Ho 1.025 -1.774 2.906
Ho 3.079 1.774 8.653
Ho 4.089 0.000 2.904
Ho 3.079 -1.774 8.653
```

Properties
Magnetic moment   0.00 μB/f.u.
Energy of formation   0.02 eV per atom



(12)
Below is a relaxed structure of MnZnAgHg, with properties calculated at the GGA-PBE level.

Geometry as extended XYZ:
```
4
Lattice="0.000 3.256 3.256 3.256 0.000 3.256 3.256 3.256 0.000" Properties=species:S:1:pos:R:3 pbc="T T T"
Mn 0.000 0.000 0.000
Zn 3.256 3.256 3.256
Ag 4.884 4.884 4.884
Hg 1.628 1.628 1.628
```

Properties
Magnetic moment   3.97 μB/f.u.
Energy of formation   0.17 eV per atom



(13)
Below is a relaxed structure of Ce2Ir3Rh3, with properties calculated at the GGA-PBE level.

Geometry as extended XYZ:
```
8
Lattice="4.069 0.000 0.000 0.000 4.097 0.000 0.000 0.000 8.124" Properties=species:S:1:pos:R:3 pbc="T T T"
Ce 0.000 0.000 2.016
Ce 0.000 0.000 6.108
Ir 0.000 2.049 4.062
Ir 2.035 2.049 2.052
Ir 2.035 2.049 6.072
Rh 0.000 2.049 0.000
Rh 2.035 0.000 0.000
Rh 2.035 0.000 4.062
```

Properties
Magnetic moment   0.00 μB/f.u.
Energy of formation   -0.58 eV per atom



(14)
Below is a relaxed structure of Tm2Th15Sc2, with properties calculated at the GGA-PBE level.

Geometry as extended XYZ:
```
19
Lattice="5.632 3.252 5.778 -5.632 3.252 5.778 0.000 -6.503 5.778" Properties=species:S:1:pos:R:3 pbc="T T T"
Tm 0.000 0.000 3.406
Tm 0.000 0.000 13.929
Th -2.816 -1.626 5.778
Th 0.000 -3.333 5.387
Th -2.886 1.666 5.387
Th -1.673 -2.897 8.667
Th -3.346 0.000 8.667
Th -2.886 -1.666 11.947
Th -2.816 1.626 11.556
Th 1.673 -2.897 8.667
Th 0.000 3.252 5.778
Th -1.673 2.897 8.667
Th 2.886 1.666 5.387
Th 3.346 0.000 8.667
Th 1.673 2.897 8.667
Th 2.886 -1.666 11.947
Th 0.000 3.333 11.947
Sc 0.000 0.000 7.035
Sc 0.000 0.000 10.299
```

Properties
Magnetic moment   0.00 μB/f.u.
Energy of formation   0.31 eV per atom



(15)
Below is a relaxed structure of SmTiBeIr2, with properties calculated at the GGA-PBE level.

Geometry as extended XYZ:
```
5
Lattice="-1.973 1.973 5.691 1.973 -1.973 5.691 1.973 1.973 -5.691" Properties=species:S:1:pos:R:3 pbc="T T T"
Sm 0.000 0.000 0.000
Ti 1.973 0.000 2.845
Be 0.000 1.973 2.845
Ir 0.000 0.000 4.349
Ir 0.000 0.000 7.032
```

Properties
Magnetic moment   0.00 μB/f.u.
Energy of formation   -0.66 eV per atom



(16)
Below is a relaxed structure of Tl3Bi, with properties calculated at the GGA-PBE level.

Geometry as extended XYZ:
```
4
Lattice="-2.573 2.573 4.765 2.573 -2.573 4.765 2.573 2.573 -4.765" Properties=species:S:1:pos:R:3 pbc="T T T"
Tl 0.000 0.000 0.000
Tl 2.573 0.000 2.382
Tl 0.000 2.573 2.382
Bi 0.000 0.000 4.765
```

Properties
Magnetic moment   0.00 μB/f.u.
Energy of formation   -0.03 eV per atom
Distance to the lowest polymorph of the same formula   0 meV per atom



(17)
Below is a relaxed structure of Ti4Si4Ni, with properties calculated at the GGA-PBE level.

Geometry as extended XYZ:
```
72
Lattice="15.666 0.000 0.000 0.000 5.096 0.000 0.000 0.000 12.789" Properties=species:S:1:pos:R:3 pbc="T T T"
Ti 0.586 1.274 1.921
Ti 0.833 1.274 6.784
Ti 0.837 1.274 9.770
Ti 2.101 0.017 12.240
Ti 2.101 2.531 12.240
Ti 2.325 3.822 2.325
Ti 2.807 3.822 5.833
Ti 3.287 1.274 4.096
Ti 4.546 3.822 10.491
Ti 5.026 1.274 12.228
Ti 5.508 1.274 8.719
Ti 5.732 2.565 5.845
Ti 5.732 5.079 5.845
Ti 7.000 3.822 0.390
Ti 6.996 3.822 3.376
Ti 7.247 3.822 8.316
Ti 8.419 1.274 4.473
Ti 8.670 1.274 9.414
Ti 8.666 1.274 12.400
Ti 9.935 0.017 6.944
Ti 9.935 2.531 6.944
Ti 10.159 3.822 4.070
Ti 10.640 3.822 0.561
Ti 11.121 1.274 2.298
Ti 12.379 3.822 8.693
Ti 12.860 1.274 6.956
Ti 13.341 1.274 10.465
Ti 13.565 2.565 0.550
Ti 13.565 5.079 0.550
Ti 14.830 3.822 3.019
Ti 14.833 3.822 6.005
Ti 15.080 3.822 10.868
Si 0.223 3.822 0.707
Si 1.019 2.570 4.343
Si 1.019 5.074 4.343
Si 1.062 3.822 7.805
Si 1.882 3.822 10.094
Si 3.099 1.274 1.473
Si 3.395 1.274 10.315
Si 3.592 1.274 6.624
Si 4.241 3.822 0.229
Si 4.438 3.822 3.920
Si 4.734 3.822 7.868
Si 5.952 1.274 3.699
Si 6.771 1.274 1.411
Si 6.814 0.022 10.738
Si 6.814 2.526 10.738
Si 7.610 1.274 7.102
Si 8.057 3.822 5.688
Si 8.852 2.570 2.052
Si 8.852 5.074 2.052
Si 8.895 3.822 11.379
Si 9.715 3.822 9.090
Si 10.932 1.274 4.922
Si 11.228 1.274 8.869
Si 11.425 1.274 12.560
Si 12.074 3.822 6.165
Si 12.271 3.822 2.475
Si 12.568 3.822 11.316
Si 13.785 1.274 2.695
Si 14.605 1.274 4.984
Si 14.647 0.022 8.446
Si 14.647 2.526 8.446
Si 15.443 1.274 12.082
Ni 2.889 0.014 8.416
Ni 2.889 2.534 8.416
Ni 4.944 2.562 2.021
Ni 4.944 5.081 2.021
Ni 10.722 0.014 10.768
Ni 10.722 2.534 10.768
Ni 12.778 2.562 4.373
Ni 12.778 5.081 4.373
```

Properties
Magnetic moment   0.00 μB/f.u.
ΔE_f (raw)   -0.771 eV per atom



(18)
Below is a relaxed structure of La6Pt4Pb, with properties calculated at the GGA-PBE level.

Geometry as extended XYZ:
```
22
Lattice="2.196 -7.046 0.000 2.196 7.046 0.000 0.000 0.000 21.495" Properties=species:S:1:pos:R:3 pbc="T T T"
La 0.000 0.000 0.000
La 0.000 0.000 10.747
La 2.196 4.626 16.121
La 2.196 3.285 1.821
La 2.196 3.285 8.927
La 2.196 0.532 14.123
La 2.196 0.532 18.120
La 2.196 -0.532 3.375
La 2.196 -0.532 7.372
La 2.196 -3.285 12.568
La 2.196 -3.285 19.674
La 2.196 -4.626 5.374
Pt 2.196 5.667 13.419
Pt 2.196 5.667 18.824
Pt 2.196 1.930 11.621
Pt 2.196 1.930 20.621
Pt 2.196 -1.930 0.874
Pt 2.196 -1.930 9.874
Pt 2.196 -5.667 2.671
Pt 2.196 -5.667 8.076
Pb 2.196 4.878 5.374
Pb 2.196 -4.878 16.121
```

Properties
Magnetic moment   0.01 μB/f.u.
Energy of formation   -0.99 eV per atom



(19)
Below is a relaxed structure of Pm6Pr2TmMg, with properties calculated at the GGA-PBE level.

Geometry as extended XYZ:
```
20
Lattice="4.639 -7.460 0.000 4.639 7.460 0.000 -1.668 0.000 9.688" Properties=species:S:1:pos:R:3 pbc="T T T"
Pm 2.367 4.249 1.871
Pm 3.133 4.683 5.347
Pm 3.644 4.683 9.185
Pm 3.047 1.495 3.727
Pm 6.077 4.249 2.973
Pm 2.213 -1.495 8.571
Pm 5.398 1.495 1.117
Pm 1.533 -4.249 6.715
Pm 4.564 -1.495 5.961
Pm 3.966 -4.683 0.503
Pm 4.478 -4.683 4.341
Pm 5.243 -4.249 7.817
Pr 2.212 0.694 0.480
Pr 1.378 -0.694 5.324
Pr 6.232 0.694 4.364
Pr 5.398 -0.694 9.208
Tm 4.222 7.246 2.422
Tm 3.388 -7.246 7.266
Mg 3.388 1.423 7.266
Mg 4.222 -1.423 2.422
```

Properties
Magnetic moment   0.00 μB/f.u.
Energy of formation   0.11 eV per atom



(20)
Below is a relaxed structure of K2NiRh, with properties calculated at the GGA-PBE level.

Geometry as extended XYZ:
```
8
Lattice="-6.023 6.023 2.238 6.023 -6.023 2.238 6.023 6.023 -2.238" Properties=species:S:1:pos:R:3 pbc="T T T"
K 0.603 3.012 0.559
K -3.012 5.420 1.678
K -0.603 9.035 0.559
K 3.012 6.627 1.678
Ni 0.000 0.000 0.000
Ni 0.000 6.023 1.119
Rh 6.023 0.000 1.119
Rh 0.000 0.000 2.238
```

Properties
Magnetic moment   0.00 μB/f.u.
Energy of formation   0.70 eV per atom
Distance to the lowest polymorph of the same formula   314 meV per atom